# 1
This record from the Alexandria database describes LaMoPO2 at its PBEsol-relaxed geometry. The functional is SCAN.

Summary:
As for the calculated total energy: -21.970 eV per atom. The calculation puts the formation energy without anion corrections at -1.800 eV per atom.

CIF file:
```
data_LaMoPO2
_chemical_formula_sum 'La1 Mo1 P1 O2'
_symmetry_space_group_name_H-M 'P 4/m m m'
_symmetry_Int_Tables_number 123
_symmetry_space_group_name_Hall '-P 4 2'
_cell_length_a 3.999
_cell_length_b 3.999
_cell_length_c 4.792
_cell_angle_alpha 90.00
_cell_angle_beta 90.00
_cell_angle_gamma 90.00
loop_
_atom_site_label
_atom_site_fract_x
_atom_site_fract_y
_atom_site_fract_z
_atom_site_occupancy
La1 0.000 0.000 0.000 1
Mo1 0.500 0.500 0.500 1
P1 0.500 0.500 0.000 1
O1 0.000 0.500 0.500 1
```

---

# 2
This record from the Alexandria database describes RbLaMo2O8 at its PBEsol-relaxed geometry. The functional is SCAN.

Summary:
As for the calculated total energy: -17.948 eV per atom. The calculation puts the formation energy without anion corrections at -2.659 eV per atom.

CIF file:
```
data_RbLaMo2O8
_chemical_formula_sum 'Rb2 La2 Mo4 O16'
_symmetry_space_group_name_H-M 'P 4/n n c'
_symmetry_Int_Tables_number 126
_cell_length_a 6.325
_cell_length_b 6.325
_cell_length_c 9.644
_cell_angle_alpha 90.00
_cell_angle_beta 90.00
_cell_angle_gamma 90.00
loop_
_symmetry_equiv_pos_as_xyz
'x,y,z'
'-x,-y,-z'
'-y+1/2,x,z'
'y+1/2,-x,-z'
'-x+1/2,-y+1/2,z'
'x+1/2,y+1/2,-z'
'y,-x+1/2,z'
'-y,x+1/2,-z'
'x,-y+1/2,-z+1/2'
'-x,y+1/2,z+1/2'
'-y+1/2,-x+1/2,-z+1/2'
'y+1/2,x+1/2,z+1/2'
'-x+1/2,y,-z+1/2'
'x+1/2,-y,z+1/2'
'y,x,-z+1/2'
'-y,-x,z+1/2'
loop_
_atom_site_label
_atom_site_fract_x
_atom_site_fract_y
_atom_site_fract_z
_atom_site_occupancy
Rb1 0.250 0.250 0.250 1
La1 0.250 0.250 0.750 1
Mo1 0.250 0.750 0.000 1
O1 0.058 0.634 0.110 1
```

---

# 3
This record from the Alexandria database describes LaTl2MoO at its PBEsol-relaxed geometry. The functional is SCAN.

Summary:
As for the calculated total energy: -45.573 eV per atom. The calculation puts the formation energy without anion corrections at 0.215 eV per atom.

CIF file:
```
data_LaTl2MoO
_chemical_formula_sum 'La1 Tl2 Mo1 O1'
_symmetry_space_group_name_H-M 'P 4/m m m'
_symmetry_Int_Tables_number 123
_symmetry_space_group_name_Hall '-P 4 2'
_cell_length_a 6.188
_cell_length_b 6.188
_cell_length_c 4.158
_cell_angle_alpha 90.00
_cell_angle_beta 90.00
_cell_angle_gamma 90.00
loop_
_atom_site_label
_atom_site_fract_x
_atom_site_fract_y
_atom_site_fract_z
_atom_site_occupancy
La1 0.000 0.000 0.000 1
Tl1 0.000 0.500 0.000 1
Mo1 0.500 0.500 0.500 1
O1 0.000 0.000 0.500 1
```

---

# 4
This record from the Alexandria database describes LaMoOs2 at its PBEsol-relaxed geometry. The functional is SCAN.

Summary:
As for the calculated total energy: -54.903 eV per atom. The energy of formation from the pure elements is 52 kJ per mole of atoms. Its energy relative to the lowest polymorph listed for this composition is 0 meV/atom.

CIF file:
```
data_LaMoOs2
_chemical_formula_sum 'La3 Mo3 Os6'
_symmetry_space_group_name_H-M 'R -3 m'
_symmetry_Int_Tables_number 166
_symmetry_space_group_name_Hall '-R 3 2"'
_cell_length_a 2.8521
_cell_length_b 2.8521
_cell_length_c 29.0573
_cell_angle_alpha 90.00
_cell_angle_beta 90.00
_cell_angle_gamma 120.00
loop_
_atom_site_label
_atom_site_fract_x
_atom_site_fract_y
_atom_site_fract_z
_atom_site_occupancy
La1 0.0000 0.0000 0.0000 1
Mo1 0.0000 0.0000 0.5000 1
Os1 0.0000 0.0000 0.2388 1
```

---

# 5
This record from the Alexandria database describes LaMo2Os2 at its PBEsol-relaxed geometry. The functional is SCAN.

Summary:
As for the calculated total energy: -51.484 eV per atom. The energy of formation from the pure elements is -15 kJ per mole of atoms.

CIF file:
```
data_LaMo2Os2
_chemical_formula_sum 'La2 Mo4 Os4'
_symmetry_space_group_name_H-M 'I 4/m m m'
_symmetry_Int_Tables_number 139
_symmetry_space_group_name_Hall '-I 4 2'
_cell_length_a 4.354
_cell_length_b 4.354
_cell_length_c 10.326
_cell_angle_alpha 90.00
_cell_angle_beta 90.00
_cell_angle_gamma 90.00
loop_
_atom_site_label
_atom_site_fract_x
_atom_site_fract_y
_atom_site_fract_z
_atom_site_occupancy
La1 0.000 0.000 0.000 1
Mo1 0.000 0.500 0.250 1
Os1 0.000 0.000 0.372 1
```

---

# 6
This record from the Alexandria database describes La3MoOs at its PBEsol-relaxed geometry. The functional is SCAN.

Summary:
As for the calculated total energy: -46.259 eV per atom. The energy of formation from the pure elements is 92 kJ per mole of atoms.

CIF file:
```
data_La3MoOs
_chemical_formula_sum 'La3 Mo1 Os1'
_symmetry_space_group_name_H-M 'P m -3 m'
_symmetry_Int_Tables_number 221
_symmetry_space_group_name_Hall '-P 4 2 3'
_cell_length_a 5.201
_cell_length_b 5.201
_cell_length_c 5.201
_cell_angle_alpha 90.00
_cell_angle_beta 90.00
_cell_angle_gamma 90.00
loop_
_atom_site_label
_atom_site_fract_x
_atom_site_fract_y
_atom_site_fract_z
_atom_site_occupancy
La1 0.000 0.000 0.500 1
Mo1 0.000 0.000 0.000 1
Os1 0.500 0.500 0.500 1
```

---

# 7
This record from the Alexandria database describes La2MoOs at its PBEsol-relaxed geometry. The functional is SCAN.

Summary:
As for the calculated total energy: -47.636 eV per atom. The energy of formation from the pure elements is 59 kJ per mole of atoms. Its energy relative to the lowest polymorph listed for this composition is 0 meV/atom.

CIF file:
```
data_La2MoOs
_chemical_formula_sum 'La4 Mo2 Os2'
_symmetry_space_group_name_H-M 'C 1 2/m 1'
_symmetry_Int_Tables_number 12
_cell_length_a 6.167
_cell_length_b 9.344
_cell_length_c 3.094
_cell_angle_alpha 90.00
_cell_angle_beta 114.57
_cell_angle_gamma 90.00
loop_
_symmetry_equiv_pos_as_xyz
'x,y,z'
'-x,-y,-z'
'-x,y,-z'
'x,-y,z'
'x+1/2,y+1/2,z'
'-x+1/2,-y+1/2,-z'
'-x+1/2,y+1/2,-z'
'x+1/2,-y+1/2,z'
loop_
_atom_site_label
_atom_site_fract_x
_atom_site_fract_y
_atom_site_fract_z
_atom_site_occupancy
La1 0.250 0.250 0.000 1
Mo1 0.000 0.000 0.500 1
Os1 0.000 0.500 0.500 1
```

---

# 8
This record from the Alexandria database describes LaMoOs2 at its PBEsol-relaxed geometry. The functional is SCAN.

Summary:
As for the calculated total energy: -54.730 eV per atom. The energy of formation from the pure elements is 68 kJ per mole of atoms. Its energy relative to the lowest polymorph listed for this composition is 173 meV/atom.

CIF file:
```
data_LaMoOs2
_chemical_formula_sum 'La2 Mo2 Os4'
_symmetry_space_group_name_H-M 'C 1 2/m 1'
_symmetry_Int_Tables_number 12
_cell_length_a 5.685
_cell_length_b 9.095
_cell_length_c 2.823
_cell_angle_alpha 90.00
_cell_angle_beta 110.41
_cell_angle_gamma 90.00
loop_
_symmetry_equiv_pos_as_xyz
'x,y,z'
'-x,-y,-z'
'-x,y,-z'
'x,-y,z'
'x+1/2,y+1/2,z'
'-x+1/2,-y+1/2,-z'
'-x+1/2,y+1/2,-z'
'x+1/2,-y+1/2,z'
loop_
_atom_site_label
_atom_site_fract_x
_atom_site_fract_y
_atom_site_fract_z
_atom_site_occupancy
La1 0.000 0.000 0.000 1
Mo1 0.000 0.500 0.000 1
Os1 0.250 0.250 0.500 1
```

---

# 9
This record from the Alexandria database describes LaMoOs2 at its PBEsol-relaxed geometry. The functional is SCAN.

Summary:
As for the calculated total energy: -54.817 eV per atom. The energy of formation from the pure elements is 60 kJ per mole of atoms. Its energy relative to the lowest polymorph listed for this composition is 87 meV/atom.

CIF file:
```
data_LaMoOs2
_chemical_formula_sum 'La2 Mo2 Os4'
_symmetry_space_group_name_H-M 'I 4/m m m'
_symmetry_Int_Tables_number 139
_symmetry_space_group_name_Hall '-I 4 2'
_cell_length_a 4.458
_cell_length_b 4.458
_cell_length_c 7.039
_cell_angle_alpha 90.00
_cell_angle_beta 90.00
_cell_angle_gamma 90.00
loop_
_atom_site_label
_atom_site_fract_x
_atom_site_fract_y
_atom_site_fract_z
_atom_site_occupancy
La1 0.000 0.000 0.000 1
Mo1 0.000 0.000 0.500 1
Os1 0.000 0.500 0.250 1
```

---

# 10
This record from the Alexandria database describes LaMo2OsSe at its PBEsol-relaxed geometry. The functional is SCAN.

Summary:
As for the calculated total energy: -40.190 eV per atom. The calculation puts the formation energy without anion corrections at 0.777 eV per atom.

CIF file:
```
data_LaMo2OsSe
_chemical_formula_sum 'La1 Mo2 Os1 Se1'
_symmetry_space_group_name_H-M 'P 4/m m m'
_symmetry_Int_Tables_number 123
_symmetry_space_group_name_Hall '-P 4 2'
_cell_length_a 4.711
_cell_length_b 4.711
_cell_length_c 5.151
_cell_angle_alpha 90.00
_cell_angle_beta 90.00
_cell_angle_gamma 90.00
loop_
_atom_site_label
_atom_site_fract_x
_atom_site_fract_y
_atom_site_fract_z
_atom_site_occupancy
La1 0.000 0.000 0.000 1
Mo1 0.000 0.500 0.500 1
Os1 0.500 0.500 0.500 1
Se1 0.500 0.500 0.000 1
```

---

# 11
This record from the Alexandria database describes LaMo2P at its PBEsol-relaxed geometry. The functional is SCAN.

Summary:
As for the calculated total energy: -30.517 eV per atom. The energy of formation from the pure elements is 29 kJ per mole of atoms.

CIF file:
```
data_LaMo2P
_chemical_formula_sum 'La2 Mo4 P2'
_symmetry_space_group_name_H-M 'I m m 2'
_symmetry_Int_Tables_number 44
_cell_length_a 3.242
_cell_length_b 4.277
_cell_length_c 9.928
_cell_angle_alpha 90.00
_cell_angle_beta 90.00
_cell_angle_gamma 90.00
loop_
_symmetry_equiv_pos_as_xyz
'x,y,z'
'-x,-y,z'
'-x,y,z'
'x,-y,z'
'x+1/2,y+1/2,z+1/2'
'-x+1/2,-y+1/2,z+1/2'
'-x+1/2,y+1/2,z+1/2'
'x+1/2,-y+1/2,z+1/2'
loop_
_atom_site_label
_atom_site_fract_x
_atom_site_fract_y
_atom_site_fract_z
_atom_site_occupancy
La1 0.000 0.000 0.000 1
Mo1 0.000 0.000 0.541 1
Mo2 0.000 0.500 0.772 1
P1 0.000 0.500 0.233 1
```

---

# 12
This record from the Alexandria database describes LaMoPS2 at its PBEsol-relaxed geometry. The functional is SCAN.

Summary:
As for the calculated total energy: -20.904 eV per atom. The calculation puts the formation energy without anion corrections at 0.625 eV per atom.

CIF file:
```
data_LaMoPS2
_chemical_formula_sum 'La1 Mo1 P1 S2'
_symmetry_space_group_name_H-M 'P 4/m m m'
_symmetry_Int_Tables_number 123
_symmetry_space_group_name_Hall '-P 4 2'
_cell_length_a 5.305
_cell_length_b 5.305
_cell_length_c 5.424
_cell_angle_alpha 90.00
_cell_angle_beta 90.00
_cell_angle_gamma 90.00
loop_
_atom_site_label
_atom_site_fract_x
_atom_site_fract_y
_atom_site_fract_z
_atom_site_occupancy
La1 0.000 0.000 0.000 1
Mo1 0.500 0.500 0.500 1
P1 0.000 0.000 0.500 1
S1 0.000 0.500 0.000 1
```